{
  "formula": "BeAl3Tl",
  "functional": "GGA-PBEsol",
  "state": "optimized geometry",
  "magmom_total_mub_per_fu": 0.00,
  "vol_a3_per_cell": 139,
  "ef_mev_per_atom": 1406.4,
  "lattice_angstrom": [[-4.3890, -2.6068, -0.8451], [2.6161, -4.4608, 0.1738], [-0.8161, -0.2799, 5.1018]],
  "species": ["Be", "Tl", "Al", "Al", "Al"],
  "frac_coords": [[0.5000, 0.5000, 0.5000], [0.0000, 0.0000, 0.0000], [0.0000, 0.5000, 0.0000], [0.0000, 0.0000, 0.5000], [0.5000, 0.0000, 0.0000]]
}


{
  "formula": "BeAl4W",
  "functional": "GGA-PBEsol",
  "state": "optimized geometry",
  "magmom_total_mub_per_fu": 0.00,
  "vol_a3_per_cell": 87,
  "ef_mev_per_atom": 288.7,
  "lattice_angstrom": [[-3.4720, -3.0230, 1.8942], [1.2064, -3.2406, 3.5811], [-1.6429, 0.6998, 4.6467]],
  "species": ["Be", "Al", "Al", "Al", "Al", "W"],
  "frac_coords": [[0.2500, 0.2500, 0.2500], [0.6247, 0.6247, 0.1258], [0.1258, 0.6247, 0.6247], [0.6247, 0.1258, 0.6247], [0.6247, 0.6247, 0.6247], [0.0000, 0.0000, 0.0000]]
}


{
  "formula": "BeAlW",
  "functional": "GGA-PBEsol",
  "state": "optimized geometry",
  "magmom_total_mub_per_fu": 0.00,
  "vol_a3_per_cell": 41,
  "ef_mev_per_atom": 272.6,
  "lattice_angstrom": [[-1.4177, -1.8892, -1.4297], [-0.1699, 0.0601, 2.7551], [-4.8658, 3.9438, -0.3862]],
  "species": ["Be", "Al", "W"],
  "frac_coords": [[0.3333, 0.6667, 0.6654], [0.0000, 0.0000, 0.9872], [0.6667, 0.3333, 0.3475]]
}


Copy entry 1 word for word.
{
  "formula": "BeAl3Tl",
  "functional": "GGA-PBEsol",
  "state": "optimized geometry",
  "magmom_total_mub_per_fu": 0.00,
  "vol_a3_per_cell": 139,
  "ef_mev_per_atom": 1406.4,
  "lattice_angstrom": [[-4.3890, -2.6068, -0.8451], [2.6161, -4.4608, 0.1738], [-0.8161, -0.2799, 5.1018]],
  "species": ["Be", "Tl", "Al", "Al", "Al"],
  "frac_coords": [[0.5000, 0.5000, 0.5000], [0.0000, 0.0000, 0.0000], [0.0000, 0.5000, 0.0000], [0.0000, 0.0000, 0.5000], [0.5000, 0.0000, 0.0000]]
}